VASP calculation (GGA+U) on a relaxed structure of BaAcMn2O8.

Its raw total energy is -81.76 eV per cell. The calculation puts the magnetic moment at 3.000 μB/f.u.

The space group is P-3 (No. 147) and the conventional cell measures 5.7811, 5.7811 and 8.0761 Å, with angles of 90.00, 90.00 and 120.00 degrees. Symmetry generates all atoms from Ba at (0.0000, 0.0000, 0.0000), Ac at (0.0000, 0.0000, 0.5000), Mn at (0.3333, 0.6667, 0.7876), O at (0.1695, 0.3456, 0.7176) and O at (0.3333, 0.6667, 0.9921).